Here is crystalline SnTePd at its relaxed geometry from Alexandria. Energies are from PBE.

POSCAR file:
```
SnTePd
1.0
-3.475 -2.109 -2.750
2.859 -2.744 -1.508
-2.200 -0.940 3.501
Te Sn Pd
1 1 1
Cartesian
-1.374 -2.064 1.150
-1.440 -3.729 -1.907
-0.002 -0.001 -0.001
```

Properties
ΔE_f (raw)	-0.90	eV/f.u.
DOS(E_F)	1.4	states/eV per cell

Here is crystalline Ac2TiTl at its relaxed geometry from Alexandria. Energies are from PBE.

POSCAR file:
```
Ac2TiTl
1.0
3.612 0.000 0.000
1.806 3.128 0.000
1.806 1.043 12.141
Ac Tl Ti
2 1 1
Cartesian
1.806 1.043 8.982
5.418 3.128 3.159
3.612 2.085 6.071
0.000 0.000 0.000
```

Properties
DOS(E_F)	5.8	states/eV per cell
ΔE_f	0.5078	eV/atom

Here is crystalline SrCuC2 at its relaxed geometry from Alexandria. Energies are from PBE.

POSCAR file:
```
SrCuC2
1.0
3.820 -1.893 0.055
2.336 0.016 3.567
0.559 -3.610 2.199
Sr C Cu
1 2 1
Cartesian
3.358 -2.744 2.911
1.679 -1.372 1.455
5.036 -4.116 4.366
0.000 0.000 0.000
```

Properties
DOS(E_F)	2.6	states/eV per cell
ΔE_f	1.7938	eV/atom

Here is crystalline TbDyHo2S6 at its relaxed geometry from Alexandria. Energies are from PBE.

POSCAR file:
```
TbDyHo2S6
1.0
-6.521 2.177 -0.638
-5.224 -4.406 0.985
-4.015 0.714 6.105
Tb Dy Ho S
1 1 2 6
Cartesian
-3.920 -0.662 0.448
-11.800 -1.423 3.665
-7.875 -0.827 2.939
-4.010 0.642 5.811
-6.185 0.562 1.351
-7.195 -3.362 2.289
-10.185 -0.563 1.559
-9.466 -1.733 5.024
-8.313 1.587 4.236
-5.935 -1.033 4.913
```

Properties
ΔE_f (raw)	-20.62	eV/f.u.
DOS(E_F)	0.0	states/eV per cell

Here is crystalline SnBr at its relaxed geometry from Alexandria. Energies are from PBE.

POSCAR file:
```
SnBr
1.0
-4.980 5.674 -9.194
-6.292 -1.938 9.909
1.159 3.236 1.369
Sn Br
6 6
Cartesian
-5.383 5.710 -6.439
-8.673 4.900 3.263
-8.560 4.055 0.165
-4.730 1.262 8.522
-1.440 2.072 -1.179
-1.552 2.917 1.919
-7.853 2.257 3.815
-6.016 5.274 0.129
-4.745 0.270 5.881
-2.260 4.715 -1.731
-4.097 1.699 1.955
-5.368 6.703 -3.797
```

Properties
ΔE_f (raw)	-0.68	eV/f.u.
DOS(E_F)	4.8	states/eV per cell

Here is crystalline LiAc3Pm2S6 at its relaxed geometry from Alexandria. Energies are from PBE.

POSCAR file:
```
LiAc3Pm2S6
1.0
7.215 -0.013 -0.005
-3.617 6.244 -0.005
-1.205 -2.086 6.746
Li Ac Pm S
1 3 2 6
Cartesian
0.000 0.000 0.000
-2.410 4.156 3.368
4.804 -0.011 3.368
1.197 2.072 3.368
0.001 4.154 -0.005
3.598 2.077 -0.005
3.576 2.111 5.200
2.427 4.203 1.527
-1.183 2.034 1.536
0.041 4.153 5.200
-0.034 -0.058 5.210
2.352 -0.008 1.536
```

Properties
ΔE_f (raw)	-23.17	eV/f.u.
DOS(E_F)	5.3	states/eV per cell

Here is crystalline Tb8Pr3Sm4 at its relaxed geometry from Alexandria. Energies are from PBE.

POSCAR file:
```
Tb8Pr3Sm4
1.0
-1.865 5.567 3.506
-4.400 -0.487 -8.242
-4.969 -7.494 2.583
Tb Pr Sm
8 3 4
Cartesian
-3.507 0.834 0.356
-4.604 -3.000 -4.359
-2.492 -2.072 -1.472
-5.478 0.505 -3.721
-5.756 -2.919 1.568
-8.742 -0.342 -0.681
-4.765 -4.981 -1.300
-7.726 -3.248 -2.509
-3.132 2.540 -2.368
-3.417 -0.964 3.044
-5.617 -1.207 -1.076
-0.932 2.783 1.753
-2.200 -0.243 -4.121
0.000 0.000 0.000
-2.484 -3.747 1.291
```

Properties
DOS(E_F)	29.6	states/eV per cell
ΔE_f	0.3612	eV/atom

Here is crystalline CaNi2Bi at its relaxed geometry from Alexandria. Energies are from PBE.

POSCAR file:
```
CaNi2Bi
1.0
4.716 0.000 0.000
0.000 4.716 0.000
2.358 2.358 8.823
Ni Ca Bi
4 2 2
Cartesian
4.504 1.179 2.206
4.927 3.537 2.206
3.537 2.569 6.617
5.895 2.147 6.617
2.358 2.358 0.000
2.358 4.716 4.411
0.000 0.000 0.000
4.716 2.358 4.411
```

Properties
DOS(E_F)	4.3	states/eV per cell
ΔE_f	0.0704	eV/atom

Here is crystalline MgScIn2 at its relaxed geometry from Alexandria. Energies are from PBE.

POSCAR file:
```
MgScIn2
1.0
-8.256 5.214 2.284
-9.419 3.430 -0.295
-9.402 2.110 2.778
In Mg Sc
2 1 1
Cartesian
-27.065 10.749 4.764
-13.552 5.382 2.386
-6.769 2.688 1.192
-20.308 8.066 3.575
```

Properties
DOS(E_F)	3.0	states/eV per cell
ΔE_f	-0.1781	eV/atom

Here is crystalline Ba2NaO3 at its relaxed geometry from Alexandria. Energies are from PBE.

POSCAR file:
```
Ba2NaO3
1.0
-2.628 2.190 -1.925
-1.140 -3.157 -2.035
-3.454 -1.113 7.448
Ba Na O
2 1 3
Cartesian
-3.635 -1.087 3.724
-3.587 -0.993 -0.235
0.000 0.000 0.000
-5.401 -1.536 1.624
-1.820 -0.545 1.865
-1.884 -0.484 -1.980
```

Properties
ΔE_f (raw)	-11.52	eV/f.u.
DOS(E_F)	2.4	states/eV per cell